Record 1
Computed, not measured: ZnNi3Os after structural relaxation at the GGA-PBE level of DFT.

Unit cell a=4.509 b=4.509 c=4.509 alpha=90.00 beta=90.00 gamma=90.00
Positions (direct):
Os: 0.000 0.000 0.000
Ni: 0.500 0.000 0.000
Ni: 0.000 0.500 0.000
Ni: 0.000 0.000 0.500
Zn: 0.500 0.500 0.500

- Density of states at the Fermi level: 1.5822 states/eV/atom
- Formation energy from the elements: 1.322 eV per atom

Record 2
Computed, not measured: CaMnSi2 after structural relaxation at the GGA-PBE level of DFT.

Unit cell a=5.267 b=5.267 c=5.267 alpha=144.46 beta=119.43 gamma=72.24
Positions (direct):
Si: 0.039 0.039 0.000
Si: 0.461 0.461 0.000
Ca: 0.750 0.250 0.500
Mn: 0.250 0.750 0.500

- Density of states at the Fermi level: 0.6428 states/eV/atom
- Energy: -0.3967 Ry/atom

Record 3
Computed, not measured: PuI2Br after structural relaxation at the GGA-PBE level of DFT.

Unit cell a=5.103 b=5.103 c=7.379 alpha=69.77 beta=69.77 gamma=60.00
Positions (direct):
I: 0.728 0.728 0.815
I: 0.272 0.272 0.185
Pu: 0.000 0.000 0.000
Br: 0.500 0.500 0.500

- Density of states at the Fermi level: 2.3603 states/eV/atom
- Energy: -0.4082 Ry/atom

Record 4
Computed, not measured: Na4AgSn3Se8 after structural relaxation at the GGA-PBE level of DFT.

Unit cell a=8.065 b=8.475 c=8.068 alpha=118.44 beta=119.99 gamma=90.00
Positions (direct):
Ag: 0.000 0.500 0.000
Se: 0.735 0.721 0.978
Se: 0.757 0.279 0.513
Se: 0.243 0.721 0.487
Se: 0.757 0.279 0.022
Se: 0.744 0.731 0.487
Se: 0.256 0.269 0.513
Se: 0.265 0.279 0.022
Se: 0.243 0.721 0.978
Sn: 0.500 0.500 0.500
Sn: 0.000 0.500 0.500
Sn: 0.500 0.500 0.000
Na: 0.500 0.000 0.000
Na: 0.500 0.000 0.500
Na: 0.000 0.000 0.000
Na: 0.000 0.000 0.500

- Density of states at the Fermi level: 0.4404 states/eV/atom
- Energy: -0.2662 Ry/atom

Record 5
Computed, not measured: Tb3DyHo2S6 after structural relaxation at the GGA-PBE level of DFT.

Unit cell a=6.773 b=6.773 c=6.772 alpha=99.56 beta=99.56 gamma=120.22
Positions (direct):
Tb: 0.500 0.500 0.500
Tb: 0.834 0.166 0.500
Tb: 0.166 0.834 0.500
Ho: 0.333 0.667 0.000
Ho: 0.667 0.333 0.000
S: 0.583 0.918 0.753
S: 0.918 0.583 0.753
S: 0.748 0.748 0.246
S: 0.252 0.252 0.754
S: 0.082 0.417 0.247
S: 0.417 0.082 0.247
Dy: 0.000 0.000 0.000

- Density of states at the Fermi level: 0.4033 states/eV/atom
- Energy: -0.4680 Ry/atom

Record 6
Computed, not measured: SrAl3Tc after structural relaxation at the GGA-PBE level of DFT.

Unit cell a=10.814 b=4.531 c=4.531 alpha=90.02 beta=77.90 gamma=102.06
Positions (direct):
Tc: 0.501 0.034 0.680
Tc: 0.501 0.534 0.180
Al: 0.630 0.598 0.615
Al: 0.373 0.970 0.244
Al: 0.782 0.674 0.039
Al: 0.373 0.470 0.744
Al: 0.221 0.394 0.320
Al: 0.630 0.098 0.115
Sr: 0.126 0.847 0.867
Sr: 0.877 0.221 0.492

- Density of states at the Fermi level: 0.5519 states/eV/atom
- Formation energy from the elements: -0.290 eV per atom

Record 7
Computed, not measured: RbLiZnPbSe after structural relaxation at the GGA-PBE level of DFT.

Unit cell a=4.775 b=5.843 c=6.305 alpha=102.98 beta=108.13 gamma=103.12
Positions (direct):
Pb: 0.944 0.194 0.204
Rb: 0.638 0.492 0.758
Li: 0.292 0.840 0.402
Zn: 0.316 0.021 0.000
Se: 0.931 0.001 0.599

- Density of states at the Fermi level: 0.0343 states/eV/atom
- Energy: -0.1965 Ry/atom

Record 8
Computed, not measured: Pr12DyY6 after structural relaxation at the GGA-PBE level of DFT.

Unit cell a=9.913 b=9.913 c=9.913 alpha=110.96 beta=110.96 gamma=110.96
Positions (direct):
Pr: 0.739 0.995 0.739
Pr: 0.500 0.109 0.891
Pr: 0.739 0.739 0.995
Pr: 0.261 0.005 0.261
Pr: 0.891 0.109 0.500
Pr: 0.500 0.891 0.109
Pr: 0.109 0.500 0.891
Pr: 0.109 0.891 0.500
Pr: 0.891 0.500 0.109
Pr: 0.995 0.739 0.739
Pr: 0.261 0.261 0.005
Pr: 0.005 0.261 0.261
Y: 0.353 0.353 0.732
Y: 0.268 0.647 0.647
Y: 0.353 0.732 0.353
Y: 0.647 0.268 0.647
Y: 0.732 0.353 0.353
Y: 0.647 0.647 0.268
Dy: 0.000 0.000 0.000

- Density of states at the Fermi level: 2.0310 states/eV/atom
- Formation energy from the elements: 0.396 eV per atom

Record 9
Computed, not measured: ReSiS3 after structural relaxation at the GGA-PBE level of DFT.

Unit cell a=4.634 b=4.634 c=4.634 alpha=90.00 beta=90.00 gamma=90.00
Positions (direct):
S: 0.500 0.000 0.000
S: 0.000 0.500 0.000
S: 0.000 0.000 0.500
Re: 0.000 0.000 0.000
Si: 0.500 0.500 0.500

- Density of states at the Fermi level: 1.0155 states/eV/atom
- Energy: -0.4003 Ry/atom

Record 10
Computed, not measured: Tl2CuAgS2 after structural relaxation at the GGA-PBE level of DFT.

Unit cell a=5.839 b=5.855 c=9.198 alpha=108.61 beta=108.51 gamma=90.00
Positions (direct):
S: 0.195 0.909 0.818
S: 0.378 0.591 0.182
S: 0.805 0.091 0.182
S: 0.622 0.409 0.818
Ag: 0.000 0.750 0.000
Ag: 0.000 0.250 0.000
Tl: 0.073 0.334 0.667
Tl: 0.927 0.666 0.333
Tl: 0.406 0.166 0.333
Tl: 0.594 0.834 0.667
Cu: 0.500 0.250 0.000
Cu: 0.500 0.750 0.000

- Energy: -0.2593 Ry/atom

Record 11
Computed, not measured: SrFeGe3 after structural relaxation at the GGA-PBE level of DFT.

Unit cell a=4.933 b=4.933 c=4.933 alpha=90.00 beta=90.00 gamma=90.00
Positions (direct):
Ge: 0.500 0.000 0.000
Ge: 0.000 0.000 0.500
Ge: 0.000 0.500 0.000
Sr: 0.500 0.500 0.500
Fe: 0.000 0.000 0.000

- Density of states at the Fermi level: 0.9365 states/eV/atom
- Formation energy from the elements: -0.069 eV per atom

Record 12
Computed, not measured: Ti3HIr after structural relaxation at the GGA-PBE level of DFT.

Unit cell a=4.798 b=4.798 c=4.798 alpha=90.00 beta=90.00 gamma=90.00
Positions (direct):
Ti: 0.000 0.000 0.500
Ti: 0.500 0.000 0.000
Ti: 0.000 0.500 0.000
H: 0.500 0.500 0.500
Ir: 0.000 0.000 0.000

- Density of states at the Fermi level: 1.3171 states/eV/atom
- Energy: -0.4647 Ry/atom